Entry 1:
Computed, not measured: a relaxed structure of HfMn2Se2 at the PBE level of DFT.

For the spin magnetization, the calculation gives 3.5 Bohr magnetons per cell. The space-group type is I4/mmm, No. 139. The uncorrected formation energy comes out at -39 meV/atom. Its energy above the most stable polymorph in this dataset is 0.0265 eV per atom. For the calculated density, the calculation gives 9.04 g/cm3.

Cell lengths 4.529, 4.529, 5.121 Å; angles 63.75, 63.75, 90.00 degrees
Site moments in Bohr magnetons follow the coordinates.
Fractional coordinates of all 5 atoms:
Hf 0.000 0.000 0.000  -0.15
Mn 0.364 0.364 0.272  1.81
Mn 0.636 0.636 0.728  1.81
Se 0.250 0.750 0.500  -0.03
Se 0.750 0.250 0.500  -0.03

***

Entry 2:
Computed, not measured: a relaxed structure of HfMnSe3 at the PBE level of DFT.

For the spin magnetization, the calculation gives 10.0 Bohr magnetons per cell. The space-group type is P2_1/m, No. 11. The uncorrected formation energy comes out at -806 meV/atom. Its energy above the most stable polymorph in this dataset is 0.0918 eV per atom. For the calculated density, the calculation gives 4.64 g/cm3.

Cell lengths 4.477, 7.975, 10.703 Å; angles 118.28, 90.00, 90.00 degrees
Site moments in Bohr magnetons follow the coordinates.
Fractional coordinates of all 10 atoms:
Se 0.750 0.522 0.350  0.07
Se 0.750 0.792 0.937  0.01
Se 0.250 0.208 0.063  0.01
Se 0.750 0.021 0.335  0.05
Se 0.250 0.979 0.665  0.05
Se 0.250 0.478 0.650  0.07
Hf 0.250 0.853 0.836  0.11
Hf 0.750 0.147 0.164  0.11
Mn 0.250 0.643 0.487  4.21
Mn 0.750 0.357 0.513  4.21

***

Entry 3:
Computed, not measured: a relaxed structure of Hf2MnSe at the PBE level of DFT.

For the spin magnetization, the calculation gives 2.8 Bohr magnetons per cell. The space-group type is R-3m, No. 166. The uncorrected formation energy comes out at 158 meV/atom. For the calculated density, the calculation gives 9.85 g/cm3.

Cell lengths 3.219, 3.219, 9.411 Å; angles 80.15, 80.15, 60.00 degrees
Site moments in Bohr magnetons follow the coordinates.
Fractional coordinates of all 4 atoms:
Se 0.500 0.500 0.500  0.02
Hf 0.906 0.906 0.282  -0.22
Hf 0.094 0.094 0.718  -0.22
Mn 0.000 0.000 0.000  3.29

***

Entry 4:
Computed, not measured: a relaxed structure of HfMnSe2 at the PBE level of DFT.

For the spin magnetization, the calculation gives 3.0 Bohr magnetons per cell. The space-group type is Fm-3m, No. 225. The uncorrected formation energy comes out at -521 meV/atom. Its energy above the most stable polymorph in this dataset is 0.0398 eV per atom. For the calculated density, the calculation gives 9.14 g/cm3.

Cell lengths 4.649, 4.649, 4.649 Å; angles 60.00, 60.00, 60.00 degrees
Site moments in Bohr magnetons follow the coordinates.
Fractional coordinates of all 4 atoms:
Mn 0.000 0.000 0.000  3.43
Se 0.250 0.250 0.250  0.04
Se 0.750 0.750 0.750  0.04
Hf 0.500 0.500 0.500  -0.41

***

Entry 5:
Computed, not measured: a relaxed structure of HfMnSe2 at the PBE level of DFT.

For the spin magnetization, the calculation gives 0.0 Bohr magnetons per cell. The space-group type is I-42d, No. 122. The uncorrected formation energy comes out at -177 meV/atom. Its energy above the most stable polymorph in this dataset is 0.3833 eV per atom. For the calculated density, the calculation gives 7.70 g/cm3.

Cell lengths 4.950, 4.950, 7.732 Å; angles 71.33, 71.33, 90.00 degrees
Fractional coordinates of all 8 atoms:
Hf 0.750 0.250 0.500
Hf 0.000 0.000 0.000
Se 0.172 0.625 0.250
Se 0.375 0.422 0.750
Se 0.578 0.125 0.250
Se 0.875 0.828 0.750
Mn 0.250 0.750 0.500
Mn 0.500 0.500 0.000

***

Entry 6:
Computed, not measured: a relaxed structure of Hf3MnSe at the PBE level of DFT.

For the spin magnetization, the calculation gives 3.5 Bohr magnetons per cell. The space-group type is Pm-3m, No. 221. The uncorrected formation energy comes out at 338 meV/atom. Its energy above the most stable polymorph in this dataset is 0.0978 eV per atom. For the calculated density, the calculation gives 9.44 g/cm3.

Cell lengths 4.901, 4.901, 4.901 Å; angles 90.00, 90.00, 90.00 degrees
Site moments in Bohr magnetons follow the coordinates.
Fractional coordinates of all 5 atoms:
Hf 0.000 0.500 0.000  -0.10
Hf 0.000 0.000 0.500  -0.13
Hf 0.500 0.000 0.000  -0.21
Mn 0.500 0.500 0.500  3.97
Se 0.000 0.000 0.000  -0.01

***

Entry 7:
Computed, not measured: a relaxed structure of Hf3MnTl3Se8 at the PBE level of DFT.

For the spin magnetization, the calculation gives 4.8 Bohr magnetons per cell. The space-group type is R-3m, No. 166. The uncorrected formation energy comes out at -919 meV/atom. For the calculated density, the calculation gives 7.41 g/cm3.

Cell lengths 7.670, 7.667, 9.207 Å; angles 114.59, 89.99, 119.98 degrees
Site moments in Bohr magnetons follow the coordinates.
Fractional coordinates of all 15 atoms:
Tl 0.000 0.000 0.000  0.00
Tl 0.000 0.500 0.000  0.00
Tl 0.500 0.500 0.000  0.00
Se 0.727 0.959 0.691  0.03
Se 0.731 0.462 0.693  0.00
Se 0.232 0.463 0.691  0.03
Se 0.768 0.041 0.309  0.03
Se 0.232 0.959 0.691  0.03
Se 0.768 0.537 0.309  0.03
Se 0.273 0.041 0.309  0.03
Se 0.269 0.538 0.307  0.00
Hf 0.000 0.500 0.500  -0.01
Hf 0.500 0.500 0.500  0.00
Hf 0.500 0.000 0.500  0.00
Mn 0.000 0.000 0.500  4.21

***

Entry 8:
Computed, not measured: a relaxed structure of HfMn2Tl2Se4 at the PBE level of DFT.

For the spin magnetization, the calculation gives 7.9 Bohr magnetons per cell. The space-group type is C2/m, No. 12. The uncorrected formation energy comes out at -609 meV/atom. For the calculated density, the calculation gives 7.64 g/cm3.

Cell lengths 3.909, 7.997, 7.645 Å; angles 106.99, 104.81, 90.00 degrees
Site moments in Bohr magnetons follow the coordinates.
Fractional coordinates of all 9 atoms:
Se 0.508 0.766 0.016  0.03
Se 0.190 0.173 0.380  0.06
Se 0.810 0.827 0.620  0.06
Se 0.492 0.234 0.984  0.03
Mn 0.672 0.963 0.345  3.68
Mn 0.328 0.037 0.655  3.68
Tl 0.143 0.581 0.286  0.00
Tl 0.857 0.419 0.714  0.00
Hf 0.000 0.000 0.000  -0.18